1.
Density functional theory data (PBE) for an optimized crystal structure of Lu2Hf4Cu3N3.

Values from the calculation:
Total magnetic moment ... 0.01 μB per formula unit
E ... -96.17 eV/f.u.
Calculated volume ... 369.3 Å³/cell

```
Lu2Hf4Cu3N3
1.0
-2.205 4.603 -2.243
-3.254 -0.389 -4.510
-9.140 -2.789 10.369
Hf Lu Cu N
8 4 6 6
direct
0.306 0.142 0.913
0.202 0.023 0.587
0.858 0.694 0.587
0.798 0.977 0.413
0.023 0.202 0.087
0.977 0.798 0.913
0.694 0.858 0.087
0.142 0.306 0.413
0.626 0.460 0.884
0.460 0.626 0.384
0.374 0.540 0.116
0.540 0.374 0.616
0.895 0.585 0.250
0.068 0.932 0.750
0.415 0.105 0.250
0.105 0.415 0.750
0.585 0.895 0.750
0.932 0.068 0.250
0.834 0.333 0.500
0.333 0.834 0.000
0.166 0.667 0.500
0.667 0.166 0.000
0.500 0.000 0.500
0.000 0.500 0.000
```


2.
Density functional theory data (PBE) for an optimized crystal structure of ErIrI6.

Values from the calculation:
Total magnetic moment ... 0.01 μB per formula unit
E ... -28.38 eV/f.u.
Calculated volume ... 325.4 Å³/cell

```
ErIrI6
1.0
3.643 -6.297 0.000
3.643 6.297 0.000
-2.339 0.000 7.092
I Er Ir
6 1 1
direct
0.202 0.234 0.232
0.911 0.542 0.228
0.766 0.798 0.768
0.059 0.396 0.774
0.458 0.089 0.772
0.604 0.941 0.226
0.166 0.834 0.000
0.834 0.166 0.000
```


3.
Density functional theory data (PBE) for an optimized crystal structure of LiAsPtO.

Values from the calculation:
ΔE to the lowest computed polymorph ... 0.687 eV per atom
Total magnetic moment ... 0.02 μB per formula unit
Calculated volume ... 107.6 Å³/cell

```
LiAsPtO
1.0
-0.193 0.252 -3.595
-1.121 -3.426 -0.179
-7.843 2.535 0.599
O As Li Pt
2 2 2 2
direct
0.500 0.500 0.000
0.000 0.000 0.000
0.000 0.500 0.276
0.500 0.000 0.724
0.000 0.000 0.500
0.500 0.500 0.500
0.000 0.500 0.839
0.500 0.000 0.161
```


4.
Density functional theory data (PBE) for an optimized crystal structure of ErAgAu.

Values from the calculation:
ΔE to the lowest computed polymorph ... 0.404 eV per atom
Total magnetic moment ... 0.00 μB per formula unit
Calculated formation energy ... -0.24 eV per atom
Calculated volume ... 75.8 Å³/cell

```
ErAgAu
1.0
0.000 3.360 3.360
3.360 0.000 3.360
3.360 3.360 0.000
Er Au Ag
1 1 1
direct
0.000 0.000 0.000
0.750 0.750 0.750
0.250 0.250 0.250
```


5.
Density functional theory data (PBE) for an optimized crystal structure of Li4InCu2Pb.

Values from the calculation:
E ... -23.18 eV/f.u.
Calculated volume ... 126.6 Å³/cell

```
Li4InCu2Pb
1.0
-3.728 2.217 -1.114
-2.115 -3.890 -0.666
-1.828 -0.040 6.041
Pb Cu Li In
1 2 4 1
direct
0.500 0.500 0.500
0.000 0.500 0.760
0.500 0.000 0.240
0.000 0.500 0.245
0.500 0.500 0.000
0.000 0.000 0.500
0.500 0.000 0.755
0.000 0.000 0.000
```


6.
Density functional theory data (PBE) for an optimized crystal structure of NiSnAs.

Values from the calculation:
Total magnetic moment ... 0.00 μB per formula unit
E ... -13.05 eV/f.u.
Calculated volume ... 63.3 Å³/cell

```
NiSnAs
1.0
0.000 3.164 3.164
3.164 0.000 3.164
3.164 3.164 0.000
Sn Ni As
1 1 1
direct
0.000 0.000 0.000
0.750 0.750 0.750
0.250 0.250 0.250
```


7.
Density functional theory data (PBE) for an optimized crystal structure of HgPt124.

Values from the calculation:
Total magnetic moment ... 0.03 μB per formula unit
Calculated formation energy ... 0.00 eV per atom
Calculated volume ... 1940.0 Å³/cell

```
HgPt124
1.0
7.000 4.041 11.430
-7.000 4.041 11.430
0.000 -8.083 11.430
Pt Hg
124 1
direct
0.000 0.200 0.200
0.600 0.200 0.200
0.400 0.800 0.000
0.600 0.800 0.400
0.800 0.000 0.600
0.600 0.000 0.200
0.200 0.000 0.600
0.000 0.202 0.798
0.600 0.000 0.600
0.202 0.000 0.798
0.400 0.000 0.800
0.800 0.200 0.800
0.400 0.800 0.800
0.400 0.800 0.400
0.200 0.600 0.400
0.000 0.200 0.600
0.000 0.600 0.600
0.200 0.200 0.400
0.798 0.000 0.202
0.798 0.000 0.000
0.200 0.600 0.000
0.600 0.600 0.000
0.400 0.800 0.200
0.401 0.000 0.000
0.400 0.800 0.600
0.400 0.200 0.000
0.400 0.600 0.800
0.800 0.400 0.400
0.800 0.800 0.800
0.600 0.800 0.600
0.000 0.000 0.798
0.000 0.800 0.600
0.000 0.400 0.200
0.400 0.000 0.200
0.000 0.600 0.200
0.401 0.599 0.000
0.200 0.600 0.200
0.800 0.600 0.400
0.000 0.401 0.000
0.400 0.400 0.000
0.200 0.400 0.600
0.000 0.401 0.599
0.000 0.798 0.000
0.400 0.200 0.400
0.000 0.800 0.400
0.600 0.800 0.200
0.200 0.400 0.800
0.000 0.800 0.800
0.000 0.400 0.800
0.800 0.200 0.200
0.202 0.000 0.000
0.600 0.400 0.400
0.000 0.599 0.000
0.400 0.200 0.600
0.800 0.200 0.600
0.800 0.600 0.000
0.200 0.600 0.600
0.600 0.600 0.200
0.200 0.800 0.800
0.000 0.000 0.599
0.400 0.400 0.600
0.800 0.000 0.400
0.600 0.200 0.800
0.200 0.800 0.400
0.200 0.000 0.200
0.000 0.400 0.400
0.600 0.200 0.000
0.599 0.401 0.000
0.800 0.400 0.200
0.000 0.000 0.401
0.800 0.600 0.800
0.600 0.400 0.200
0.200 0.200 0.600
0.000 0.200 0.400
0.600 0.800 0.000
0.000 0.600 0.800
0.800 0.800 0.000
0.600 0.000 0.800
0.200 0.400 0.000
0.798 0.202 0.000
0.800 0.800 0.400
0.600 0.400 0.800
0.000 0.599 0.401
0.800 0.800 0.200
0.599 0.000 0.000
0.401 0.000 0.599
0.600 0.200 0.400
0.200 0.800 0.200
0.400 0.400 0.800
0.200 0.200 0.000
0.800 0.400 0.000
0.400 0.000 0.400
0.000 0.202 0.000
0.000 0.798 0.202
0.200 0.400 0.200
0.200 0.600 0.800
0.400 0.600 0.600
0.400 0.200 0.200
0.600 0.200 0.600
0.800 0.400 0.800
0.202 0.798 0.000
0.400 0.200 0.800
0.800 0.800 0.600
0.200 0.800 0.600
0.600 0.600 0.800
0.000 0.000 0.202
0.800 0.600 0.600
0.200 0.200 0.200
0.200 0.400 0.400
0.400 0.400 0.200
0.600 0.600 0.400
0.599 0.000 0.401
0.200 0.000 0.400
0.800 0.400 0.600
0.600 0.400 0.600
0.800 0.200 0.400
0.600 0.800 0.800
0.400 0.600 0.400
0.400 0.600 0.200
0.400 0.400 0.400
0.600 0.600 0.600
0.800 0.000 0.800
0.800 0.600 0.200
0.200 0.200 0.800
0.000 0.000 0.000
```


8.
Density functional theory data (PBE) for an optimized crystal structure of TbDy2In3AgIr2.

Values from the calculation:
Total magnetic moment ... 0.01 μB per formula unit
E ... -48.10 eV/f.u.
Calculated volume ... 198.3 Å³/cell

```
TbDy2In3AgIr2
1.0
3.853 0.000 0.000
0.000 6.677 3.854
0.000 -6.677 3.854
Ir In Tb Dy Ag
2 3 1 2 1
direct
0.500 0.333 0.667
0.500 0.667 0.333
0.500 0.000 0.732
0.500 0.268 0.268
0.500 0.732 0.000
0.000 0.587 0.587
0.000 0.413 0.000
0.000 0.000 0.413
0.000 0.000 0.000
```


9.
Density functional theory data (PBE) for an optimized crystal structure of Ho2B4Mo3.

Values from the calculation:
Total magnetic moment ... 0.00 μB per formula unit
E ... -71.88 eV/f.u.
Calculated volume ... 237.0 Å³/cell

```
Ho2B4Mo3
1.0
6.305 0.000 0.000
0.000 6.381 0.000
-1.756 0.000 5.890
Mo B Ho
6 8 4
direct
0.740 0.180 0.750
0.260 0.680 0.750
0.500 0.000 0.000
0.500 0.500 0.500
0.260 0.820 0.250
0.740 0.320 0.250
0.919 0.467 0.600
0.502 0.106 0.389
0.081 0.967 0.900
0.919 0.033 0.100
0.081 0.533 0.400
0.498 0.894 0.611
0.502 0.394 0.889
0.498 0.606 0.111
0.809 0.671 0.912
0.809 0.829 0.412
0.191 0.329 0.088
0.191 0.171 0.588
```


10.
Density functional theory data (PBE) for an optimized crystal structure of Re2Ni3.

Values from the calculation:
ΔE to the lowest computed polymorph ... 0.015 eV per atom
Total magnetic moment ... 0.00 μB per formula unit
Calculated formation energy ... 0.07 eV per atom
Calculated volume ... 377.1 Å³/cell

```
Re2Ni3
1.0
9.034 0.000 0.000
0.000 9.034 0.000
0.000 0.000 4.621
Ni Re
18 12
direct
0.468 0.128 0.000
0.673 0.327 0.751
0.500 0.500 0.500
0.327 0.673 0.249
0.173 0.173 0.251
0.372 0.968 0.500
0.628 0.032 0.500
0.872 0.532 0.000
0.000 0.000 0.000
0.327 0.673 0.751
0.827 0.827 0.749
0.128 0.468 0.000
0.173 0.173 0.749
0.532 0.872 0.000
0.673 0.327 0.249
0.032 0.628 0.500
0.827 0.827 0.251
0.968 0.372 0.500
0.426 0.236 0.500
0.736 0.074 0.000
0.900 0.100 0.500
0.264 0.926 0.000
0.100 0.900 0.500
0.600 0.600 0.000
0.764 0.574 0.500
0.574 0.764 0.500
0.236 0.426 0.500
0.926 0.264 0.000
0.074 0.736 0.000
0.400 0.400 0.000
```


11.
Density functional theory data (PBE) for an optimized crystal structure of BaGaHg.

Values from the calculation:
ΔE to the lowest computed polymorph ... 0.000 eV per atom
Calculated volume ... 101.0 Å³/cell

```
BaGaHg
1.0
3.395 -3.832 1.057
3.369 0.512 3.964
-0.583 -2.891 4.316
Ga Ba Hg
1 1 1
direct
0.000 0.000 0.000
0.250 0.250 0.250
0.750 0.750 0.750
```


12.
Density functional theory data (PBE) for an optimized crystal structure of NiBiOs2.

Values from the calculation:
Total magnetic moment ... 0.01 μB per formula unit
E ... -28.56 eV/f.u.
Calculated volume ... 65.1 Å³/cell

```
NiBiOs2
1.0
-2.319 -3.658 1.273
-0.528 -0.924 4.387
-4.055 0.457 1.931
Ni Os Bi
1 2 1
direct
0.250 0.250 0.250
0.750 0.750 0.750
0.000 0.000 0.000
0.500 0.500 0.500
```


13.
Density functional theory data (PBE) for an optimized crystal structure of YH3Ir.

Values from the calculation:
Total magnetic moment ... 0.00 μB per formula unit
E ... -27.80 eV/f.u.
Calculated volume ... 99.6 Å³/cell

```
YH3Ir
1.0
3.686 -1.476 3.362
-0.194 -4.728 2.162
3.466 -3.631 -1.369
H Ir Y
6 2 2
direct
0.751 0.751 0.249
0.249 0.751 0.751
0.751 0.249 0.751
0.249 0.751 0.249
0.751 0.249 0.249
0.249 0.249 0.751
0.000 0.000 0.000
0.500 0.500 0.500
0.250 0.250 0.250
0.750 0.750 0.750
```


14.
Density functional theory data (PBE) for an optimized crystal structure of NdDy.

Values from the calculation:
ΔE to the lowest computed polymorph ... 0.000 eV per atom
Total magnetic moment ... 0.06 μB per formula unit
Calculated formation energy ... 0.03 eV per atom
Calculated volume ... 66.8 Å³/cell

```
NdDy
1.0
3.647 0.000 0.000
-1.824 3.159 0.000
0.000 0.000 5.803
Nd Dy
1 1
direct
0.333 0.667 0.250
0.667 0.333 0.750
```


15.
Density functional theory data (PBE) for an optimized crystal structure of NaPuCuTe3.

Values from the calculation:
Total magnetic moment ... 4.18 μB per formula unit
E ... -32.92 eV/f.u.
Calculated volume ... 360.9 Å³/cell

```
NaPuCuTe3
1.0
-0.246 -3.829 -7.526
3.418 -2.298 1.057
-5.886 -5.808 6.403
Te Cu Na Pu
6 2 2 2
direct
0.756 0.250 0.960
0.244 0.750 0.040
0.055 0.250 0.334
0.945 0.750 0.666
0.425 0.750 0.646
0.575 0.250 0.354
0.077 0.250 0.086
0.923 0.750 0.914
0.755 0.750 0.205
0.245 0.250 0.795
0.310 0.750 0.340
0.690 0.250 0.660
```


16.
Density functional theory data (PBE) for an optimized crystal structure of TaCl.

Values from the calculation:
Total magnetic moment ... 0.01 μB per formula unit
E ... -12.92 eV/f.u.
Calculated volume ... 33.9 Å³/cell

```
TaCl
1.0
-1.789 0.164 -2.424
2.386 -1.847 -0.008
-2.440 -3.158 1.586
Cl Ta
1 1
direct
0.667 0.333 0.750
0.333 0.667 0.250
```


17.
Density functional theory data (PBE) for an optimized crystal structure of ZrAlCuHg.

Values from the calculation:
ΔE to the lowest computed polymorph ... 0.047 eV per atom
Total magnetic moment ... 0.00 μB per formula unit
Calculated volume ... 72.7 Å³/cell

```
ZrAlCuHg
1.0
3.638 -1.314 2.644
2.086 3.103 2.823
-0.490 -0.361 4.646
Hg Al Cu Zr
1 1 1 1
direct
0.500 0.500 0.500
0.000 0.000 0.000
0.750 0.750 0.750
0.250 0.250 0.250
```


18.
Density functional theory data (PBE) for an optimized crystal structure of LiCd2Ag.

Values from the calculation:
ΔE to the lowest computed polymorph ... 0.014 eV per atom
Calculated volume ... 74.8 Å³/cell

```
LiCd2Ag
1.0
4.310 0.000 0.000
0.000 4.310 0.000
0.000 0.000 4.028
Cd Ag Li
2 1 1
direct
0.000 0.500 0.500
0.500 0.000 0.500
0.500 0.500 0.000
0.000 0.000 0.000
```